Arrangement a

Material: CdNiIO2
Method: DFT, GGA+U
State: optimized geometry

Output
- Fermi-level density of states (states/eV per atom) = 0.3697
- magnetic moment (μB/cell) = 2.9
- SG = P4/mmm

```
5
Lattice="4.0290 0.0000 0.0000 0.0000 4.0290 0.0000 0.0000 0.0000 5.6591" Properties=species:S:1:pos:R:3 pbc="T T T"
O 0.0000 2.0145 0.0000
O 2.0145 0.0000 0.0000
Cd 2.0145 2.0145 2.8296
Ni 0.0000 0.0000 0.0000
I 0.0000 0.0000 2.8296
```


Arrangement b

Material: CdNiIO2
Method: DFT, GGA+U
State: optimized geometry

Output
- Fermi-level density of states (states/eV per atom) = 1.0703
- magnetic moment (μB/cell) = 2.4
- SG = P4/mmm

```
5
Lattice="4.1080 0.0000 0.0000 0.0000 4.1080 0.0000 0.0000 0.0000 6.8376" Properties=species:S:1:pos:R:3 pbc="T T T"
O 0.0000 2.0540 0.0000
O 2.0540 0.0000 0.0000
Cd 0.0000 0.0000 0.0000
Ni 2.0540 2.0540 3.4188
I 0.0000 0.0000 3.4188
```


The structure with the least stability is arrangement b.